Compound: KBa2Tl
Source: Alexandria
Functional: PBE
Structure: relaxed

Summary:
* total energy: -1.825 eV/atom
* calculated density: 4.64 g/cm3
* volume: 46.37 Å³ per atom

Lattice parameters (Å, degrees): 7.028 7.028 7.028 132.45 132.45 69.53
Positions (direct):
K: 0.000 0.000 0.000
Ba: 0.500 0.500 0.000
Ba: 0.750 0.250 0.500
Tl: 0.250 0.750 0.500